# 1
Entry from Alexandria via LeMat-Bulk: a relaxed Zr2Tl3NiTe6 crystal (PBE).

abc: 7.191 7.191 8.523
angles: 98.09 98.09 119.98
Last column: magnetic moment on the atom in μB.
Positions (direct):
Tl (0.820, 0.180, 0.500)  0.01
Zr (0.336, 0.664, 0.000)  0.01
Te (0.376, 0.061, 0.192)  0.03
Ni (0.000, 0.000, 0.000)  0.72
Te (0.939, 0.624, 0.808)  0.03
Te (0.061, 0.376, 0.192)  0.03
Te (0.249, 0.249, 0.798)  0.03
Zr (0.664, 0.336, 0.000)  0.01
Tl (0.180, 0.820, 0.500)  0.01
Te (0.624, 0.939, 0.808)  0.03
Te (0.751, 0.751, 0.202)  0.03
Tl (0.500, 0.500, 0.500)  0.01

Computed properties:
* E_tot: -4.541 eV/atom
* magnetization: 1.125 μB per formula unit

# 2
Entry from Alexandria via LeMat-Bulk: a relaxed Tm6NiTe crystal (PBE).

abc: 6.462 6.462 6.722
angles: 99.80 99.80 116.42
Positions (direct):
Te (0.000, 0.000, 0.000)
Tm (0.738, 0.738, 0.281)
Ni (0.500, 0.500, 0.500)
Tm (0.262, 0.262, 0.719)
Tm (0.474, 0.104, 0.275)
Tm (0.526, 0.896, 0.725)
Tm (0.896, 0.526, 0.725)
Tm (0.104, 0.474, 0.275)

Computed properties:
* E_tot: -4.724 eV/atom
* magnetization: 0.000 μB per formula unit

# 3
Entry from Alexandria via LeMat-Bulk: a relaxed Tm5Ni2Te crystal (PBE).

abc: 7.561 7.561 8.466
angles: 116.52 116.52 90.00
Positions (direct):
Tm (0.290, 0.790, 0.271)
Tm (0.981, 0.481, 0.271)
Tm (0.710, 0.210, 0.729)
Tm (0.481, 0.290, 0.271)
Ni (0.635, 0.135, 0.000)
Tm (0.790, 0.981, 0.271)
Tm (0.519, 0.710, 0.729)
Tm (0.210, 0.019, 0.729)
Tm (0.019, 0.519, 0.729)
Tm (0.000, 0.000, 0.000)
Ni (0.135, 0.365, 0.000)
Ni (0.865, 0.635, 0.000)
Te (0.250, 0.250, 0.500)
Tm (0.500, 0.500, 0.000)
Ni (0.365, 0.865, 0.000)
Te (0.750, 0.750, 0.500)

Computed properties:
* E_tot: -5.219 eV/atom
* magnetization: 0.000 μB per formula unit

# 4
Entry from Alexandria via LeMat-Bulk: a relaxed Tm4NiTe3 crystal (PBE).

abc: 4.085 7.480 7.480
angles: 108.03 90.00 90.00
Positions (direct):
Ni (0.500, 0.000, 0.000)
Tm (0.000, 0.204, 0.204)
Te (0.500, 0.500, 0.500)
Te (0.000, 0.000, 0.500)
Tm (0.500, 0.774, 0.226)
Te (0.000, 0.500, 0.000)
Tm (0.500, 0.226, 0.774)
Tm (0.000, 0.796, 0.796)

Computed properties:
* E_tot: -5.148 eV/atom
* magnetization: 0.000 μB per formula unit

# 5
Entry from Alexandria via LeMat-Bulk: a relaxed Tm4NiTe crystal (PBE).

abc: 3.814 8.167 19.228
angles: 90.00 90.00 90.00
Positions (direct):
Ni (0.250, 0.772, 0.553)
Tm (0.250, 0.978, 0.068)
Te (0.750, 0.746, 0.815)
Tm (0.750, 0.953, 0.216)
Tm (0.250, 0.635, 0.149)
Tm (0.750, 0.865, 0.649)
Tm (0.750, 0.854, 0.453)
Tm (0.750, 0.365, 0.851)
Tm (0.250, 0.646, 0.953)
Tm (0.250, 0.135, 0.351)
Tm (0.250, 0.047, 0.784)
Te (0.250, 0.754, 0.315)
Ni (0.750, 0.228, 0.447)
Tm (0.750, 0.354, 0.047)
Ni (0.750, 0.728, 0.053)
Ni (0.250, 0.272, 0.947)
Tm (0.750, 0.522, 0.568)
Te (0.250, 0.254, 0.185)
Tm (0.250, 0.547, 0.716)
Tm (0.250, 0.146, 0.547)
Te (0.750, 0.246, 0.685)
Tm (0.750, 0.022, 0.932)
Tm (0.750, 0.453, 0.284)
Tm (0.250, 0.478, 0.432)

Computed properties:
* magnetization: 0.000 μB per formula unit
* E above lowest polymorph: 0 meV/atom

# 6
Entry from Alexandria via LeMat-Bulk: a relaxed Tm6Ni2Te crystal (PBE).

abc: 6.228 9.168 9.168
angles: 67.20 75.15 75.15
Positions (direct):
Tm (0.811, 0.927, 0.453)
Tm (0.880, 0.507, 0.698)
Tm (0.811, 0.178, 0.051)
Tm (0.189, 0.822, 0.949)
Ni (0.463, 0.261, 0.259)
Tm (0.120, 0.493, 0.302)
Ni (0.037, 0.741, 0.739)
Tm (0.189, 0.073, 0.547)
Tm (0.311, 0.453, 0.927)
Ni (0.537, 0.739, 0.741)
Tm (0.620, 0.302, 0.493)
Tm (0.380, 0.698, 0.507)
Tm (0.689, 0.949, 0.822)
Tm (0.311, 0.051, 0.178)
Te (0.750, 0.805, 0.195)
Te (0.250, 0.195, 0.805)
Tm (0.689, 0.547, 0.073)
Ni (0.963, 0.259, 0.261)

Computed properties:
* magnetization: 0.001 μB per formula unit
* E above lowest polymorph: 53 meV/atom